EuBi2Pb | PBE-GGA | relaxed

* energy of formation from the pure elements: -1.572 eV per formula unit
* energy: -5.83 eV/atom
* space group: P4/mmm, No. 123
* relative energy among the computed polymorphs: 0.220 eV/f.u.

abc: 4.351 4.351 6.799
angles: 90.00 90.00 90.00
Each line ends with the local moment (μB).
Fractional coordinates of all 4 atoms:
Pb 0.500 0.500 0.000  -0.02
Eu 0.500 0.500 0.500  -6.84
Bi 0.000 0.000 0.745  0.02
Bi 0.000 0.000 0.255  0.02